[1]
Be2CrNi: optimized geometry, PBEsol.

Cell: 2.429 3.877 3.877 Å, 90.00 90.00 90.00°
Atoms (fractional coordinates):
Ni 0.500 0.000 0.000
Be 0.000 0.500 0.000
Be 0.000 0.000 0.500
Cr 0.500 0.500 0.500

Values from the calculation:
As for the space group: No. 123. As for the energy of formation from the pure elements: -57.0 meV per atom.

[2]
CdH3Ir: optimized geometry, PBEsol.

Cell: 3.559 3.559 3.559 Å, 90.00 90.00 90.00°
Atoms (fractional coordinates):
H 0.000 0.500 0.000
H 0.500 0.000 0.000
H 0.000 0.000 0.500
Ir 0.000 0.000 0.000
Cd 0.500 0.500 0.500

Values from the calculation:
As for the space group: No. 221.

[3]
RbZnMo3: optimized geometry, PBEsol.

Cell: 4.750 4.750 4.750 Å, 90.00 90.00 90.00°
Atoms (fractional coordinates):
Zn 0.000 0.000 0.000
Rb 0.500 0.500 0.500
Mo 0.000 0.500 0.000
Mo 0.500 0.000 0.000
Mo 0.000 0.000 0.500

Values from the calculation:
As for the space group: No. 221. As for the energy of formation from the pure elements: 2327.2 meV per atom.

[4]
Sb2SeS: optimized geometry, PBEsol.

Cell: 6.327 6.327 6.327 Å, 106.76 106.76 115.05°
Atoms (fractional coordinates):
S 0.500 0.500 0.000
S 0.750 0.250 0.500
Sb 0.125 0.614 0.989
Sb 0.625 0.136 0.011
Sb 0.864 0.875 0.489
Sb 0.386 0.375 0.511
Se 0.250 0.750 0.500
Se 0.000 0.000 0.000

Values from the calculation:
The value obtained for the formation energy (no corrections) is 0.01 eV/atom. As for the space group: No. 122.

[5]
YTl2In: optimized geometry, PBEsol.

Cell: 4.526 4.526 5.866 Å, 112.69 112.69 90.00°
Atoms (fractional coordinates):
Y 0.500 0.500 0.000
Tl 0.750 0.250 0.500
Tl 0.250 0.750 0.500
In 0.000 0.000 0.000

Values from the calculation:
As for the space group: No. 139. As for the energy of formation from the pure elements: -293.4 meV per atom.

[6]
LiNiIr2: optimized geometry, PBEsol.

Cell: 2.670 4.294 4.475 Å, 90.00 90.00 90.00°
Site moments in Bohr magnetons follow the coordinates.
Atoms (fractional coordinates):
Ni 0.000 0.500 0.500  0.45
Li 0.500 0.500 0.000  0.00
Ir 0.000 0.000 0.000  0.20
Ir 0.500 0.000 0.500  0.13

Values from the calculation:
As for the space group: No. 47. As for the energy of formation from the pure elements: 63.0 meV per atom.

[7]
Ba2Cu7As6O24: optimized geometry, PBEsol.

Cell: 5.229 8.386 11.444 Å, 89.37 89.21 85.81°
Site moments in Bohr magnetons follow the coordinates.
Atoms (fractional coordinates):
O 0.721 0.906 0.372  0.10
O 0.696 0.507 0.400  0.10
O 0.234 0.617 0.015  0.02
O 0.304 0.493 0.600  0.10
O 0.315 0.241 0.051  0.04
O 0.809 0.943 0.690  0.07
O 0.609 0.670 0.183  0.09
O 0.183 0.014 0.854  0.00
O 0.389 0.746 0.739  0.09
O 0.191 0.057 0.310  0.07
O 0.797 0.613 0.613  0.07
O 0.611 0.254 0.261  0.09
O 0.766 0.383 0.985  0.02
O 0.630 0.210 0.506  0.12
O 0.697 0.075 0.913  0.03
O 0.123 0.731 0.277  0.10
O 0.279 0.094 0.628  0.10
O 0.303 0.925 0.087  0.03
O 0.391 0.330 0.817  0.09
O 0.817 0.986 0.146  0.00
O 0.370 0.790 0.494  0.12
O 0.877 0.269 0.723  0.10
O 0.685 0.759 0.949  0.04
O 0.203 0.387 0.387  0.07
As 0.538 0.264 0.945  0.00
As 0.976 0.922 0.275  0.01
As 0.525 0.337 0.392  0.01
As 0.462 0.736 0.055  0.00
As 0.024 0.078 0.725  0.01
As 0.475 0.663 0.608  0.01
Cu 0.457 0.081 0.184  0.56
Cu 0.543 0.919 0.816  0.56
Cu 0.000 0.000 0.000  -0.41
Cu 0.000 0.500 0.500  0.57
Cu 0.524 0.265 0.667  0.60
Cu 0.476 0.735 0.333  0.60
Cu 0.500 0.000 0.500  0.57
Ba 0.004 0.444 0.177  0.00
Ba 0.996 0.556 0.823  0.00

Values from the calculation:
The value obtained for the formation energy (no corrections) is -1.19 eV/atom. As for the space group: No. 2.

[8]
Ti3Co2TeP6O24: optimized geometry, PBEsol.

Cell: 8.455 8.455 8.455 Å, 62.10 62.10 62.10°
Site moments in Bohr magnetons follow the coordinates.
Atoms (fractional coordinates):
O 0.557 0.411 0.760  0.03
O 0.112 0.482 0.332  0.00
O 0.512 0.683 0.883  0.00
O 0.596 0.814 0.039  0.00
O 0.245 0.425 0.589  0.02
O 0.258 0.907 0.056  0.03
O 0.482 0.332 0.112  0.00
O 0.411 0.760 0.557  0.03
O 0.907 0.056 0.258  0.03
O 0.760 0.557 0.411  0.03
O 0.379 0.184 0.995  0.00
O 0.425 0.589 0.245  0.02
O 0.099 0.954 0.732  0.02
O 0.814 0.039 0.596  0.00
O 0.683 0.883 0.512  0.00
O 0.184 0.995 0.379  0.00
O 0.732 0.099 0.954  0.02
O 0.039 0.596 0.814  0.00
O 0.332 0.112 0.482  0.00
O 0.056 0.258 0.907  0.03
O 0.589 0.245 0.425  0.02
O 0.995 0.379 0.184  0.00
O 0.883 0.512 0.683  0.00
O 0.954 0.732 0.099  0.02
Co 0.007 0.007 0.007  2.20
Co 0.501 0.501 0.501  2.24
P 0.956 0.534 0.256  0.00
P 0.256 0.956 0.534  0.00
P 0.534 0.256 0.956  0.00
P 0.051 0.450 0.746  0.00
P 0.450 0.746 0.051  0.00
P 0.746 0.051 0.450  0.00
Ti 0.137 0.137 0.137  -0.35
Ti 0.357 0.357 0.357  -0.17
Ti 0.640 0.640 0.640  -0.33
Te 0.858 0.858 0.858  0.00

Values from the calculation:
The value obtained for the formation energy (no corrections) is -2.12 eV/atom. As for the space group: No. 146.

[9]
MnPbO3: optimized geometry, PBEsol.

Cell: 3.823 3.823 3.823 Å, 90.00 90.00 90.00°
Site moments in Bohr magnetons follow the coordinates.
Atoms (fractional coordinates):
O 0.000 0.000 0.500  0.03
O 0.500 0.000 0.000  0.03
O 0.000 0.500 0.000  0.03
Pb 0.500 0.500 0.500  -0.01
Mn 0.000 0.000 0.000  2.77

Values from the calculation:
The value obtained for the formation energy (no corrections) is -1.38 eV/atom. As for the space group: No. 221.

[10]
Al2WAu: optimized geometry, PBEsol.

Cell: 3.407 4.203 4.203 Å, 90.00 90.00 90.00°
Atoms (fractional coordinates):
Au 0.500 0.500 0.500
Al 0.000 0.500 0.000
Al 0.000 0.000 0.500
W 0.500 0.000 0.000

Values from the calculation:
As for the space group: No. 123. As for the energy of formation from the pure elements: -120.1 meV per atom.

[11]
CrSi2W: optimized geometry, PBEsol.

Cell: 3.076 3.076 5.378 Å, 90.00 90.00 90.00°
Atoms (fractional coordinates):
Cr 0.500 0.500 0.779
W 0.000 0.000 0.489
Si 0.000 0.000 0.988
Si 0.500 0.500 0.244

Values from the calculation:
The value obtained for the formation energy (no corrections) is -0.33 eV/atom. As for the space group: No. 99.

[12]
Ca2InW: optimized geometry, PBEsol.

Cell: 3.184 3.184 10.676 Å, 81.42 81.42 60.00°
Atoms (fractional coordinates):
Ca 0.745 0.745 0.764
Ca 0.255 0.255 0.236
In 0.500 0.500 0.500
W 0.000 0.000 0.000

Values from the calculation:
As for the space group: No. 166. As for the energy of formation from the pure elements: 566.5 meV per atom.

[13]
ZrTaMn2: optimized geometry, PBEsol.

Cell: 3.068 4.358 4.358 Å, 90.00 90.00 90.00°
Site moments in Bohr magnetons follow the coordinates.
Atoms (fractional coordinates):
Ta 0.500 0.500 0.500  -0.08
Mn 0.000 0.000 0.500  0.27
Mn 0.000 0.500 0.000  0.27
Zr 0.500 0.000 0.000  -0.06

Values from the calculation:
As for the space group: No. 123. As for the energy of formation from the pure elements: -109.8 meV per atom.

[14]
RbZnOF2: optimized geometry, PBEsol.

Cell: 4.189 4.804 4.804 Å, 90.00 90.00 90.00°
Site moments in Bohr magnetons follow the coordinates.
Atoms (fractional coordinates):
Rb 0.000 0.000 0.000  0.04
O 0.500 0.000 0.000  0.15
F 0.000 0.500 0.000  0.02
F 0.000 0.000 0.500  0.02
Zn 0.500 0.500 0.500  -0.01

Values from the calculation:
The value obtained for the formation energy (no corrections) is -0.21 eV/atom. As for the space group: No. 123.

[15]
SiP2N: optimized geometry, PBEsol.

Cell: 4.041 4.041 4.041 Å, 60.00 60.00 60.00°
Site moments in Bohr magnetons follow the coordinates.
Atoms (fractional coordinates):
P 0.750 0.750 0.750  0.01
P 0.250 0.250 0.250  0.01
N 0.000 0.000 0.000  0.25
Si 0.500 0.500 0.500  0.02

Values from the calculation:
The value obtained for the formation energy (no corrections) is 1.11 eV/atom. As for the space group: No. 225.

[16]
Mg2TaCr: optimized geometry, PBEsol.

Cell: 4.573 4.598 4.573 Å, 119.82 90.00 119.82°
Site moments in Bohr magnetons follow the coordinates.
Atoms (fractional coordinates):
Mg 0.000 0.000 0.000  0.01
Mg 0.750 0.500 0.250  -0.02
Ta 0.500 0.000 0.500  -0.21
Cr 0.250 0.500 0.750  2.75

Values from the calculation:
As for the space group: No. 119. As for the energy of formation from the pure elements: 550.1 meV per atom.

[17]
NaNbO2: optimized geometry, PBEsol.

Cell: 2.944 2.944 6.103 Å, 76.04 76.04 60.00°
Atoms (fractional coordinates):
O 0.744 0.744 0.769
O 0.256 0.256 0.231
Nb 0.000 0.000 0.000
Na 0.500 0.500 0.500

Values from the calculation:
The value obtained for the formation energy (no corrections) is -2.04 eV/atom. As for the space group: No. 166.

[18]
BeAu2Se: optimized geometry, PBEsol.

Cell: 2.825 2.825 8.694 Å, 90.00 90.00 109.27°
Atoms (fractional coordinates):
Se 0.500 0.500 0.318
Au 0.500 0.500 0.701
Au 0.000 0.000 0.975
Be 0.000 0.000 0.506

Values from the calculation:
The value obtained for the formation energy (no corrections) is 0.11 eV/atom. As for the space group: No. 35.

[19]
Zn2CuAu: optimized geometry, PBEsol.

Cell: 2.778 2.778 8.636 Å, 80.74 80.74 60.00°
Atoms (fractional coordinates):
Au 0.500 0.500 0.500
Zn 0.744 0.744 0.767
Zn 0.256 0.256 0.233
Cu 0.000 0.000 0.000

Values from the calculation:
As for the space group: No. 166. As for the energy of formation from the pure elements: -70.5 meV per atom.

[20]
Li2YCo: optimized geometry, PBEsol.

Cell: 4.462 4.462 4.462 Å, 60.00 60.00 60.00°
Atoms (fractional coordinates):
Li 0.750 0.750 0.750
Li 0.250 0.250 0.250
Co 0.000 0.000 0.000
Y 0.500 0.500 0.500

Values from the calculation:
As for the space group: No. 225. As for the energy of formation from the pure elements: 345.8 meV per atom.

| no. | ρ (Mg/m³) | density of states at the Fermi level (states/eV/cell) | total DFT energy (no corrections) (eV/atom) |
| --- | --- | --- | --- |
| 1 | 5.85 | 3.0 | -6.157 |
| 2 | 11.34 | 0.7 | -4.074 |
| 3 | 6.80 | 9.5 | -5.255 |
| 4 | 6.08 | 3.6 | -4.330 |
| 5 | 10.10 | 2.1 | -4.060 |
| 6 | 14.57 | 6.0 | -6.880 |
| 7 | 5.15 | 8.6 | -6.093 |
| 8 | 3.56 | 13.2 | -7.811 |
| 9 | 9.21 | 1.6 | -7.283 |
| 10 | 12.00 | 2.9 | -6.599 |
| 11 | 9.53 | 1.2 | -9.217 |
| 12 | 6.81 | 2.6 | -4.698 |
| 13 | 10.89 | 3.3 | -10.401 |
| 14 | 3.52 | 3.9 | -2.549 |
| 15 | 3.70 | 3.0 | -5.351 |
| 16 | 6.84 | 5.0 | -6.007 |
| 17 | 5.58 | 1.4 | -7.716 |
| 18 | 12.22 | 1.1 | -3.816 |
| 19 | 11.45 | 1.3 | -2.926 |
| 20 | 4.27 | 2.4 | -4.277 |